1.
# Tb2ScAu4 (PBE, relaxed)
# Energy, eV per atom: -4.811
# Calculated formation energy, eV per atom: -0.71
# Total magnetic moment, μB per atom: 0.000
data_Tb2ScAu4
_chemical_formula_sum 'Tb6 Sc3 Au12'
_symmetry_space_group_name_H-M 'R -3 m'
_symmetry_Int_Tables_number 166
_symmetry_space_group_name_Hall '-R 3 2"'
_cell_length_a 4.8921
_cell_length_b 4.8921
_cell_length_c 24.5264
_cell_angle_alpha 90.00
_cell_angle_beta 90.00
_cell_angle_gamma 120.00
loop_
_atom_site_label
_atom_site_type_symbol
_atom_site_fract_x
_atom_site_fract_y
_atom_site_fract_z
Tb1 Tb 0.0000 0.0000 0.2421
Sc1 Sc 0.0000 0.0000 0.0000
Au1 Au 0.0000 0.0000 0.1191
Au2 Au 0.0000 0.0000 0.3622

2.
# TbSc3Au4 (PBE, relaxed)
# Energy, eV per atom: -5.393
# Calculated formation energy, eV per atom: -0.80
# Total magnetic moment, μB per atom: 0.000
data_TbSc3Au4
_chemical_formula_sum 'Tb3 Sc9 Au12'
_symmetry_space_group_name_H-M 'R -3 m'
_symmetry_Int_Tables_number 166
_symmetry_space_group_name_Hall '-R 3 2"'
_cell_length_a 4.8481
_cell_length_b 4.8481
_cell_length_c 24.5397
_cell_angle_alpha 90.00
_cell_angle_beta 90.00
_cell_angle_gamma 120.00
loop_
_atom_site_label
_atom_site_type_symbol
_atom_site_fract_x
_atom_site_fract_y
_atom_site_fract_z
Tb1 Tb 0.0000 0.0000 0.0000
Sc1 Sc 0.0000 0.0000 0.2475
Sc2 Sc 0.0000 0.0000 0.5000
Au1 Au 0.0000 0.0000 0.1279
Au2 Au 0.0000 0.0000 0.3842

3.
# TbScAu4 (PBE, relaxed)
# Energy, eV per atom: -4.831
# Calculated formation energy, eV per atom: -0.82
# Total magnetic moment, μB per atom: 0.000
data_TbScAu4
_chemical_formula_sum 'Tb1 Sc1 Au4'
_symmetry_space_group_name_H-M 'P 4/m m m'
_symmetry_Int_Tables_number 123
_symmetry_space_group_name_Hall '-P 4 2'
_cell_length_a 3.661
_cell_length_b 3.661
_cell_length_c 9.007
_cell_angle_alpha 90.00
_cell_angle_beta 90.00
_cell_angle_gamma 90.00
loop_
_atom_site_label
_atom_site_type_symbol
_atom_site_fract_x
_atom_site_fract_y
_atom_site_fract_z
Tb1 Tb 0.000 0.000 0.000
Sc1 Sc 0.500 0.500 0.500
Au1 Au 0.000 0.000 0.342
Au2 Au 0.500 0.500 0.173

4.
# TbSc2Au (PBE, relaxed)
# Energy above the most stable polymorph in this dataset, meV/atom: 0
# Energy, eV per atom: -5.574
# Calculated formation energy, eV per atom: -0.43
# Total magnetic moment, μB per atom: 0.000
data_TbSc2Au
_chemical_formula_sum 'Tb4 Sc8 Au4'
_symmetry_space_group_name_H-M 'C m c m'
_symmetry_Int_Tables_number 63
_symmetry_space_group_name_Hall '-C 2c 2'
_cell_length_a 4.736
_cell_length_b 11.188
_cell_length_c 7.482
_cell_angle_alpha 90.00
_cell_angle_beta 90.00
_cell_angle_gamma 90.00
loop_
_atom_site_label
_atom_site_type_symbol
_atom_site_fract_x
_atom_site_fract_y
_atom_site_fract_z
Tb1 Tb 0.000 0.055 0.250
Sc1 Sc 0.000 0.352 0.043
Au1 Au 0.000 0.207 0.750

5.
# TbScAu (PBE, relaxed)
# Energy above the most stable polymorph in this dataset, meV/atom: 193
# Energy, eV per atom: -5.183
# Calculated formation energy, eV per atom: -0.44
# Total magnetic moment, μB per atom: 0.000
data_TbScAu
_chemical_formula_sum 'Tb1 Sc1 Au1'
_symmetry_space_group_name_H-M 'P 3 m 1'
_symmetry_Int_Tables_number 156
_cell_length_a 4.7346
_cell_length_b 4.7346
_cell_length_c 3.7903
_cell_angle_alpha 90.00
_cell_angle_beta 90.00
_cell_angle_gamma 120.00
loop_
_symmetry_equiv_pos_as_xyz
'x,y,z'
'-y,x-y,z'
'-x+y,-x,z'
'-y,-x,z'
'-x+y,y,z'
'x,x-y,z'
loop_
_atom_site_label
_atom_site_type_symbol
_atom_site_fract_x
_atom_site_fract_y
_atom_site_fract_z
Tb1 Tb 0.0000 0.0000 0.0000
Sc1 Sc 0.3333 0.6667 0.4835
Au1 Au 0.6667 0.3333 0.6040

6.
# TbScAu (PBE, relaxed)
# Energy above the most stable polymorph in this dataset, meV/atom: 0
# Energy, eV per atom: -5.376
# Calculated formation energy, eV per atom: -0.63
# Total magnetic moment, μB per atom: 0.000
data_TbScAu
_chemical_formula_sum 'Tb6 Sc6 Au6'
_symmetry_space_group_name_H-M 'A m m 2'
_symmetry_Int_Tables_number 38
_cell_length_a 4.795
_cell_length_b 12.575
_cell_length_c 7.242
_cell_angle_alpha 90.00
_cell_angle_beta 90.00
_cell_angle_gamma 90.00
loop_
_symmetry_equiv_pos_as_xyz
'x,y,z'
'-x,-y,z'
'-x,y,z'
'x,-y,z'
'x,y+1/2,z+1/2'
'-x,-y+1/2,z+1/2'
'-x,y+1/2,z+1/2'
'x,-y+1/2,z+1/2'
loop_
_atom_site_label
_atom_site_type_symbol
_atom_site_fract_x
_atom_site_fract_y
_atom_site_fract_z
Tb1 Tb 0.000 0.000 0.000
Tb2 Tb 0.000 0.204 0.386
Sc1 Sc 0.500 0.000 0.335
Sc2 Sc 0.500 0.128 0.719
Au1 Au 0.000 0.000 0.590
Au2 Au 0.500 0.167 0.091

Which of these has the highest calculated formation energy? TbSc2Au